Entry 1:
# Si2TcAg, relaxed, DFT PBE
data_Si2TcAg
_chemical_formula_sum 'Si6 Tc3 Ag3'
_cell_length_a 2.9358
_cell_length_b 2.9358
_cell_length_c 24.7389
_cell_angle_alpha 90.00
_cell_angle_beta 90.00
_cell_angle_gamma 120.00
_symmetry_space_group_name_H-M 'R -3 m'
_symmetry_Int_Tables_number 166
_symmetry_space_group_name_Hall '-R 3 2"'
loop_
_atom_site_label
_atom_site_type_symbol
_atom_site_fract_x
_atom_site_fract_y
_atom_site_fract_z
Si1 Si 0.0000 0.0000 0.2412
Tc1 Tc 0.0000 0.0000 0.5000
Ag1 Ag 0.0000 0.0000 0.0000
# formation energy without anion corrections: 0.00 eV/atom
# energy above the lowest structure with this stoichiometry: 56 meV per atom
# E_tot: -72.20 eV per cell

Entry 2:
# Nd3Ga8Rh3, relaxed, DFT PBE
data_Nd3Ga8Rh3
_chemical_formula_sum 'Nd6 Ga16 Rh6'
_cell_length_a 4.2987
_cell_length_b 9.9191
_cell_length_c 12.4918
_cell_angle_alpha 90.00
_cell_angle_beta 90.00
_cell_angle_gamma 90.00
_symmetry_space_group_name_H-M 'I m m m'
_symmetry_Int_Tables_number 71
_symmetry_space_group_name_Hall '-I 2 2'
loop_
_atom_site_label
_atom_site_type_symbol
_atom_site_fract_x
_atom_site_fract_y
_atom_site_fract_z
Nd1 Nd 0.0000 0.0000 0.0000
Nd2 Nd 0.0000 0.0000 0.3251
Ga1 Ga 0.0000 0.2826 0.1212
Ga2 Ga 0.0000 0.3675 0.3317
Rh1 Rh 0.0000 0.2195 0.5000
Rh2 Rh 0.0000 0.5000 0.0000
# energy above the lowest structure with this stoichiometry: 6 meV per atom
# E_tot: -140.87 eV per cell
# formation enthalpy at 0 K: -0.704 eV per atom

Entry 3:
# Ce3SnPb2, relaxed, DFT PBE
data_Ce3SnPb2
_chemical_formula_sum 'Ce3 Sn1 Pb2'
_cell_length_a 3.5772
_cell_length_b 3.5772
_cell_length_c 13.6815
_cell_angle_alpha 90.00
_cell_angle_beta 90.00
_cell_angle_gamma 90.00
_symmetry_space_group_name_H-M 'P 4/m m m'
_symmetry_Int_Tables_number 123
_symmetry_space_group_name_Hall '-P 4 2'
loop_
_atom_site_label
_atom_site_type_symbol
_atom_site_fract_x
_atom_site_fract_y
_atom_site_fract_z
Ce1 Ce 0.0000 0.0000 0.0000
Ce2 Ce 0.0000 0.0000 0.3401
Sn1 Sn 0.5000 0.5000 0.5000
Pb1 Pb 0.5000 0.5000 0.1693
# energy above the lowest structure with this stoichiometry: 0 meV per atom
# E_tot: -31.99 eV per cell
# formation enthalpy at 0 K: -0.462 eV per atom

Entry 4:
# LaNbB2O8, relaxed, DFT PBE
data_LaNbB2O8
_chemical_formula_sum 'La1 Nb1 B2 O8'
_cell_length_a 5.0161
_cell_length_b 5.0161
_cell_length_c 6.7838
_cell_angle_alpha 90.00
_cell_angle_beta 90.00
_cell_angle_gamma 120.00
_symmetry_space_group_name_H-M 'P -3 m 1'
_symmetry_Int_Tables_number 164
_symmetry_space_group_name_Hall '-P 3 2"'
loop_
_atom_site_label
_atom_site_type_symbol
_atom_site_fract_x
_atom_site_fract_y
_atom_site_fract_z
La1 La 0.0000 0.0000 0.0000
Nb1 Nb 0.0000 0.0000 0.5000
B1 B 0.3333 0.6667 0.2427
O1 O 0.1748 0.3495 0.3118
O2 O 0.3333 0.6667 0.0253
# formation energy without anion corrections: -2.31 eV/atom
# E_tot: -95.77 eV per cell

Entry 5:
# LiAcAs, relaxed, DFT PBE
data_LiAcAs
_chemical_formula_sum 'Li1 Ac1 As1'
_cell_length_a 4.3951
_cell_length_b 4.3951
_cell_length_c 4.4370
_cell_angle_alpha 90.00
_cell_angle_beta 90.00
_cell_angle_gamma 120.00
_symmetry_space_group_name_H-M 'P -6 m 2'
_symmetry_Int_Tables_number 187
_symmetry_space_group_name_Hall 'P -6 2'
loop_
_atom_site_label
_atom_site_type_symbol
_atom_site_fract_x
_atom_site_fract_y
_atom_site_fract_z
Li1 Li 0.0000 0.0000 0.0000
Ac1 Ac 0.3333 0.6667 0.5000
As1 As 0.6667 0.3333 0.0000
# energy above the lowest structure with this stoichiometry: 0 meV per atom
# E_tot: -13.67 eV per cell
# formation enthalpy at 0 K: -1.000 eV per atom

Entry 6:
# Cu3Ag, relaxed, DFT PBE
data_Cu3Ag
_chemical_formula_sum 'Cu12 Ag4'
_cell_length_a 4.5895
_cell_length_b 8.6414
_cell_length_c 5.4733
_cell_angle_alpha 90.00
_cell_angle_beta 90.00
_cell_angle_gamma 90.00
_symmetry_space_group_name_H-M 'P n m a'
_symmetry_Int_Tables_number 62
_symmetry_space_group_name_Hall '-P 2ac 2n'
loop_
_atom_site_label
_atom_site_type_symbol
_atom_site_fract_x
_atom_site_fract_y
_atom_site_fract_z
Cu1 Cu 0.0859 0.2500 0.1304
Cu2 Cu 0.2334 0.5041 0.8695
Ag1 Ag 0.0799 0.2500 0.6139
# E_tot: -58.91 eV per cell
# formation enthalpy at 0 K: 0.103 eV per atom

Entry 7:
# SrBiTeRh2, relaxed, DFT PBE
data_SrBiTeRh2
_chemical_formula_sum 'Sr1 Bi1 Te1 Rh2'
_cell_length_a 5.0311
_cell_length_b 5.0311
_cell_length_c 6.1207
_cell_angle_alpha 90.00
_cell_angle_beta 90.00
_cell_angle_gamma 90.00
_symmetry_space_group_name_H-M 'P 4/m m m'
_symmetry_Int_Tables_number 123
_symmetry_space_group_name_Hall '-P 4 2'
loop_
_atom_site_label
_atom_site_type_symbol
_atom_site_fract_x
_atom_site_fract_y
_atom_site_fract_z
Sr1 Sr 0.0000 0.0000 0.0000
Bi1 Bi 0.5000 0.5000 0.5000
Te1 Te 0.5000 0.5000 0.0000
Rh1 Rh 0.0000 0.5000 0.5000
# formation energy without anion corrections: 0.25 eV/atom
# E_tot: -22.16 eV per cell

Entry 8:
# Sm4Er5Tm2, relaxed, DFT PBE
data_Sm4Er5Tm2
_chemical_formula_sum 'Sm8 Er10 Tm4'
_cell_length_a 19.0175
_cell_length_b 5.6048
_cell_length_c 6.5537
_cell_angle_alpha 90.00
_cell_angle_beta 91.07
_cell_angle_gamma 90.00
_symmetry_space_group_name_H-M 'C 1 2/m 1'
_symmetry_Int_Tables_number 12
_symmetry_space_group_name_Hall '-C 2y'
loop_
_atom_site_label
_atom_site_type_symbol
_atom_site_fract_x
_atom_site_fract_y
_atom_site_fract_z
Sm1 Sm 0.0210 0.0000 0.2866
Sm2 Sm 0.1945 0.5000 0.0722
Er1 Er 0.0000 0.5000 0.0000
Er2 Er 0.1300 0.0000 0.8900
Er3 Er 0.2083 0.0000 0.4021
Tm1 Tm 0.0984 0.5000 0.5543
# energy above the lowest structure with this stoichiometry: 0 meV per atom
# E_tot: -98.81 eV per cell
# formation enthalpy at 0 K: 0.112 eV per atom

Entry 9:
# HgBi2H2, relaxed, DFT PBE
data_HgBi2H2
_chemical_formula_sum 'Hg2 Bi4 H4'
_cell_length_a 7.9954
_cell_length_b 7.9954
_cell_length_c 3.9473
_cell_angle_alpha 90.00
_cell_angle_beta 90.00
_cell_angle_gamma 90.00
_symmetry_space_group_name_H-M 'P 4/m b m'
_symmetry_Int_Tables_number 127
_symmetry_space_group_name_Hall '-P 4 2ab'
loop_
_atom_site_label
_atom_site_type_symbol
_atom_site_fract_x
_atom_site_fract_y
_atom_site_fract_z
Hg1 Hg 0.0000 0.0000 0.0000
Bi1 Bi 0.1435 0.3565 0.0000
H1 H 0.2016 0.2984 0.5000
# energy above the lowest structure with this stoichiometry: 94 meV per atom
# E_tot: -26.12 eV per cell

Entry 10:
# Mn2TlIn, relaxed, DFT PBE
data_Mn2TlIn
_chemical_formula_sum 'Mn8 Tl4 In4'
_cell_length_a 6.6946
_cell_length_b 6.6946
_cell_length_c 6.6946
_cell_angle_alpha 90.00
_cell_angle_beta 90.00
_cell_angle_gamma 90.00
_symmetry_space_group_name_H-M 'F m -3 m'
_symmetry_Int_Tables_number 225
_symmetry_space_group_name_Hall '-F 4 2 3'
loop_
_atom_site_label
_atom_site_type_symbol
_atom_site_fract_x
_atom_site_fract_y
_atom_site_fract_z
Mn1 Mn 0.2500 0.2500 0.2500
Tl1 Tl 0.0000 0.0000 0.0000
In1 In 0.0000 0.0000 0.5000
# energy above the lowest structure with this stoichiometry: 37 meV per atom
# E_tot: -86.93 eV per cell
# formation enthalpy at 0 K: 0.428 eV per atom

Entry 11:
# SiAs2P, relaxed, DFT PBE
data_SiAs2P
_chemical_formula_sum 'Si2 As4 P2'
_cell_length_a 3.2363
_cell_length_b 3.4960
_cell_length_c 13.0463
_cell_angle_alpha 90.00
_cell_angle_beta 90.00
_cell_angle_gamma 90.00
_symmetry_space_group_name_H-M 'I m m 2'
_symmetry_Int_Tables_number 44
_symmetry_space_group_name_Hall 'I 2 -2'
loop_
_atom_site_label
_atom_site_type_symbol
_atom_site_fract_x
_atom_site_fract_y
_atom_site_fract_z
Si1 Si 0.0000 0.0000 0.0000
As1 As 0.0000 0.0000 0.5869
As2 As 0.0000 0.5000 0.7771
P1 P 0.0000 0.5000 0.3601
# formation energy without anion corrections: 0.34 eV/atom
# energy above the lowest structure with this stoichiometry: 232 meV per atom
# E_tot: -37.55 eV per cell

Entry 12:
# Er2TmSc6, relaxed, DFT PBE
data_Er2TmSc6
_chemical_formula_sum 'Er4 Tm2 Sc12'
_cell_length_a 9.1168
_cell_length_b 15.8057
_cell_length_c 3.2914
_cell_angle_alpha 90.00
_cell_angle_beta 90.00
_cell_angle_gamma 90.00
_symmetry_space_group_name_H-M 'C m m m'
_symmetry_Int_Tables_number 65
_symmetry_space_group_name_Hall '-C 2 2'
loop_
_atom_site_label
_atom_site_type_symbol
_atom_site_fract_x
_atom_site_fract_y
_atom_site_fract_z
Er1 Er 0.0000 0.1667 0.0000
Tm1 Tm 0.0000 0.5000 0.0000
Sc1 Sc 0.1670 0.0000 0.5000
Sc2 Sc 0.1665 0.3335 0.5000
# energy above the lowest structure with this stoichiometry: 0 meV per atom
# E_tot: -102.03 eV per cell
# formation enthalpy at 0 K: 0.063 eV per atom

Repeat the fourth record exactly.
# LaNbB2O8, relaxed, DFT PBE
data_LaNbB2O8
_chemical_formula_sum 'La1 Nb1 B2 O8'
_cell_length_a 5.0161
_cell_length_b 5.0161
_cell_length_c 6.7838
_cell_angle_alpha 90.00
_cell_angle_beta 90.00
_cell_angle_gamma 120.00
_symmetry_space_group_name_H-M 'P -3 m 1'
_symmetry_Int_Tables_number 164
_symmetry_space_group_name_Hall '-P 3 2"'
loop_
_atom_site_label
_atom_site_type_symbol
_atom_site_fract_x
_atom_site_fract_y
_atom_site_fract_z
La1 La 0.0000 0.0000 0.0000
Nb1 Nb 0.0000 0.0000 0.5000
B1 B 0.3333 0.6667 0.2427
O1 O 0.1748 0.3495 0.3118
O2 O 0.3333 0.6667 0.0253
# formation energy without anion corrections: -2.31 eV/atom
# E_tot: -95.77 eV per cell